# 1
Entry from Alexandria: a geometry-optimized BeCd2Tc structure (GGA-PBE).

The structure in CIF format:
```
data_BeCd2Tc
_cell_length_a 5.233
_cell_length_b 5.233
_cell_length_c 5.233
_cell_angle_alpha 137.42
_cell_angle_beta 137.42
_cell_angle_gamma 61.79
_space_group_name_H-M_alt 'P 1'
_space_group_IT_number 1
loop_
_space_group_symop_operation_xyz
'x,y,z'
loop_
_atom_site_label
_atom_site_type_symbol
_atom_site_fract_x
_atom_site_fract_y
_atom_site_fract_z
Be1 Be 0.000 0.000 0.000
Cd1 Cd 0.250 0.750 0.500
Cd2 Cd 0.750 0.250 0.500
Tc1 Tc 0.500 0.500 0.000
```

Computed properties:
Its symmetry is I4/mmm, No. 139.



# 2
Entry from Alexandria: a geometry-optimized BeCdTc2 structure (GGA-PBE).

The structure in CIF format:
```
data_BeCdTc2
_cell_length_a 8.975
_cell_length_b 8.975
_cell_length_c 8.975
_cell_angle_alpha 17.72
_cell_angle_beta 17.72
_cell_angle_gamma 17.72
_space_group_name_H-M_alt 'P 1'
_space_group_IT_number 1
loop_
_space_group_symop_operation_xyz
'x,y,z'
loop_
_atom_site_label
_atom_site_type_symbol
_atom_site_fract_x
_atom_site_fract_y
_atom_site_fract_z
Be1 Be 0.000 0.000 0.000
Cd1 Cd 0.500 0.500 0.500
Tc1 Tc 0.260 0.260 0.260
Tc2 Tc 0.740 0.740 0.740
```

Computed properties:
As for the energy above the most stable polymorph in this dataset: 331.0 meV per atom. Its symmetry is R-3m, No. 166.



# 3
Entry from Alexandria: a geometry-optimized BeCdTc2 structure (GGA-PBE).

The structure in CIF format:
```
data_BeCdTc2
_cell_length_a 4.946
_cell_length_b 4.946
_cell_length_c 2.764
_cell_angle_alpha 90.00
_cell_angle_beta 90.00
_cell_angle_gamma 118.37
_space_group_name_H-M_alt 'P 1'
_space_group_IT_number 1
loop_
_space_group_symop_operation_xyz
'x,y,z'
loop_
_atom_site_label
_atom_site_type_symbol
_atom_site_fract_x
_atom_site_fract_y
_atom_site_fract_z
Be1 Be 0.000 0.000 0.000
Cd1 Cd 0.500 0.500 0.000
Tc1 Tc 0.000 0.500 0.500
Tc2 Tc 0.500 0.000 0.500
```

Computed properties:
As for the energy above the most stable polymorph in this dataset: 473.3 meV per atom. Its symmetry is Cmmm, No. 65.



# 4
Entry from Alexandria: a geometry-optimized TiBe2CdTc structure (GGA-PBE).

The structure in CIF format:
```
data_TiBe2CdTc
_cell_length_a 4.397
_cell_length_b 4.397
_cell_length_c 4.525
_cell_angle_alpha 90.00
_cell_angle_beta 90.00
_cell_angle_gamma 90.00
_space_group_name_H-M_alt 'P 1'
_space_group_IT_number 1
loop_
_space_group_symop_operation_xyz
'x,y,z'
loop_
_atom_site_label
_atom_site_type_symbol
_atom_site_fract_x
_atom_site_fract_y
_atom_site_fract_z
Ti1 Ti 0.000 0.000 0.000
Be1 Be 0.000 0.500 0.500
Be2 Be 0.500 0.000 0.500
Cd1 Cd 0.500 0.500 0.000
Tc1 Tc 0.000 0.000 0.500
```

Computed properties:
Its symmetry is P4/mmm, No. 123.



Formation energy, respectively: 0.50 0.40 0.54 0.64 eV per atom.